Record 1
Density functional theory data (PBE-GGA) for NaH3Rh after structural relaxation.

Geometry as POSCAR:
```
NaH3Rh
1.0
0.0000 4.5724 4.5724
4.5724 0.0000 4.5724
4.5724 4.5724 0.0000
Na H Rh
4 12 4
direct
0.0000 0.0000 0.0000
0.0000 0.0000 0.5000
0.0000 0.5000 0.0000
0.5000 0.0000 0.0000
0.1762 0.1762 0.5738
0.1762 0.5738 0.1762
0.1762 0.5738 0.5738
0.4262 0.4262 0.8238
0.4262 0.8238 0.4262
0.4262 0.8238 0.8238
0.5738 0.1762 0.1762
0.5738 0.1762 0.5738
0.5738 0.5738 0.1762
0.8238 0.4262 0.4262
0.8238 0.4262 0.8238
0.8238 0.8238 0.4262
0.0000 0.5000 0.5000
0.5000 0.0000 0.5000
0.5000 0.5000 0.0000
0.5000 0.5000 0.5000
```

Its density of states at the Fermi level is 1.72 states/eV/f.u. Its space group is No. 227. The calculation puts the total magnetic moment at 0.000 μB/atom. Its excess energy over the best structure of this formula in the dataset is 110 meV per atom.

Record 2
Density functional theory data (PBE-GGA) for NaH3Rh after structural relaxation.

Geometry as POSCAR:
```
NaH3Rh
1.0
-1.6741 1.6741 9.4093
1.6741 -1.6741 9.4093
1.6741 1.6741 -9.4093
Na H Rh
2 6 2
direct
0.0000 0.0000 0.0000
0.7500 0.2500 0.5000
0.2958 0.1224 0.1735
0.3383 0.3383 0.0000
0.6617 0.6617 0.0000
0.8776 0.0511 0.1735
0.8776 0.7042 0.8265
0.9489 0.1224 0.8265
0.1368 0.6368 0.5000
0.3632 0.8632 0.5000
```

Its density of states at the Fermi level is 1.14 states/eV/f.u. Its space group is No. 119. The calculation puts the total magnetic moment at 0.000 μB/atom. Its excess energy over the best structure of this formula in the dataset is 332 meV per atom.

Record 3
Density functional theory data (PBE-GGA) for NaH3Rh after structural relaxation.

Geometry as POSCAR:
```
NaH3Rh
1.0
5.5085 0.0000 0.0000
-2.7542 4.7705 0.0000
0.0000 0.0000 6.4399
Na H Rh
3 9 3
direct
0.0000 0.0000 0.0000
0.3333 0.6667 0.6667
0.6667 0.3333 0.3333
0.2160 0.4320 0.9792
0.2160 0.7840 0.9792
0.2347 0.1173 0.3125
0.5493 0.0987 0.6459
0.5493 0.4507 0.6459
0.5680 0.7840 0.9792
0.8827 0.1173 0.3125
0.8827 0.7653 0.3125
0.9013 0.4507 0.6459
0.0000 0.0000 0.4828
0.3333 0.6667 0.1494
0.6667 0.3333 0.8161
```

Its density of states at the Fermi level is 1.36 states/eV/f.u. Its space group is No. 160. The calculation puts the total magnetic moment at 0.000 μB/atom. Its excess energy over the best structure of this formula in the dataset is 466 meV per atom.

What is the formula in the second record?
NaH3Rh